Record 1
Below is a relaxed structure of RbTlBr, with properties calculated at the PBE-GGA level.

Cell lengths 12.637, 4.359, 4.359 Å; angles 90.17, 90.00, 90.00 degrees
Fractional coordinates of all 6 atoms:
Rb 0.162 0.000 0.000
Rb 0.838 0.000 0.000
Tl 0.383 0.502 0.502
Tl 0.617 0.502 0.502
Br 0.000 0.498 0.498
Br 0.500 0.002 0.002

Values from the calculation:
As for the total DFT energy (no corrections): -2.430 eV per atom. The crystal system is orthorhombic.

***

Record 2
Below is a relaxed structure of BiIrF3, with properties calculated at the PBE-GGA level.

Cell lengths 4.328, 4.328, 4.328 Å; angles 90.00, 90.00, 90.00 degrees
Fractional coordinates of all 5 atoms:
Bi 0.000 0.000 0.000
Ir 0.500 0.500 0.500
F 0.000 0.500 0.500
F 0.500 0.000 0.500
F 0.500 0.500 0.000

Values from the calculation:
As for the total DFT energy (no corrections): -4.162 eV per atom. The crystal system is cubic.

***

Record 3
Below is a relaxed structure of NbPt2I, with properties calculated at the PBE-GGA level.

Cell lengths 4.767, 4.767, 4.767 Å; angles 60.00, 60.00, 60.00 degrees
Fractional coordinates of all 4 atoms:
Nb 0.000 0.000 0.000
Pt 0.250 0.250 0.250
Pt 0.750 0.750 0.750
I 0.500 0.500 0.500

Values from the calculation:
As for the total DFT energy (no corrections): -5.509 eV per atom. The crystal system is cubic.

***

Record 4
Below is a relaxed structure of LiAcDySb, with properties calculated at the PBE-GGA level.

Cell lengths 5.476, 5.476, 5.476 Å; angles 60.00, 60.00, 60.00 degrees
Fractional coordinates of all 4 atoms:
Li 0.000 0.000 0.000
Ac 0.750 0.750 0.750
Dy 0.250 0.250 0.250
Sb 0.500 0.500 0.500

Values from the calculation:
As for the total DFT energy (no corrections): -4.063 eV per atom. The crystal system is cubic.

***

Record 5
Below is a relaxed structure of Os2SeCl, with properties calculated at the PBE-GGA level.

Cell lengths 2.955, 2.955, 9.809 Å; angles 90.00, 90.00, 123.11 degrees
Fractional coordinates of all 4 atoms:
Os 0.000 0.000 0.000
Os 0.500 0.500 0.222
Se 0.500 0.500 0.777
Cl 0.000 0.000 0.427

Values from the calculation:
As for the total DFT energy (no corrections): -6.248 eV per atom. The crystal system is orthorhombic.

***

Record 6
Below is a relaxed structure of TbPd4Au3, with properties calculated at the PBE-GGA level.

Cell lengths 9.413, 6.045, 4.945 Å; angles 90.00, 90.00, 90.00 degrees
Fractional coordinates of all 16 atoms:
Tb 0.000 0.000 0.000
Tb 0.500 0.000 0.000
Pd 0.000 0.255 0.500
Pd 0.000 0.745 0.500
Pd 0.250 0.260 0.141
Pd 0.250 0.740 0.141
Pd 0.500 0.255 0.500
Pd 0.500 0.745 0.500
Pd 0.750 0.260 0.859
Pd 0.750 0.740 0.859
Au 0.000 0.500 0.000
Au 0.250 0.000 0.609
Au 0.250 0.500 0.645
Au 0.500 0.500 0.000
Au 0.750 0.000 0.391
Au 0.750 0.500 0.355

Values from the calculation:
As for the total DFT energy (no corrections): -4.873 eV per atom. The crystal system is orthorhombic. The calculation puts the formation energy at -3.75 eV/f.u.

***

Record 7
Below is a relaxed structure of AcLa2PrSm, with properties calculated at the PBE-GGA level.

Cell lengths 9.386, 9.386, 6.713 Å; angles 90.00, 90.00, 138.24 degrees
Fractional coordinates of all 10 atoms:
Ac 0.160 0.840 0.750
Ac 0.840 0.160 0.250
La 0.250 0.250 0.000
La 0.250 0.250 0.500
La 0.750 0.750 0.000
La 0.750 0.750 0.500
Pr 0.349 0.651 0.750
Pr 0.651 0.349 0.250
Sm 0.244 0.756 0.250
Sm 0.756 0.244 0.750

Values from the calculation:
As for the total DFT energy (no corrections): -4.360 eV per atom. The crystal system is orthorhombic. The calculation puts the formation energy at 1.66 eV/f.u.

***

Record 8
Below is a relaxed structure of AgSe3, with properties calculated at the PBE-GGA level.

Cell lengths 6.754, 6.754, 6.754 Å; angles 34.36, 34.36, 34.36 degrees
Fractional coordinates of all 4 atoms:
Ag 0.000 0.000 0.000
Se 0.250 0.250 0.250
Se 0.500 0.500 0.500
Se 0.750 0.750 0.750

Values from the calculation:
As for the total DFT energy (no corrections): -3.208 eV per atom. The crystal system is trigonal.

***

Record 9
Below is a relaxed structure of NiOs3C, with properties calculated at the PBE-GGA level.

Cell lengths 4.005, 4.005, 4.005 Å; angles 90.00, 90.00, 90.00 degrees
Fractional coordinates of all 5 atoms:
Ni 0.000 0.000 0.000
Os 0.000 0.500 0.500
Os 0.500 0.000 0.500
Os 0.500 0.500 0.000
C 0.500 0.500 0.500

Values from the calculation:
As for the total DFT energy (no corrections): -9.112 eV per atom. The crystal system is cubic. The calculation puts the formation energy at 3.13 eV/f.u.

***

Record 10
Below is a relaxed structure of La3Nd4Ho, with properties calculated at the PBE-GGA level.

Cell lengths 9.163, 9.163, 9.163 Å; angles 157.55, 98.24, 86.13 degrees
Fractional coordinates of all 8 atoms:
La 0.000 0.000 0.000
La 0.259 0.759 0.500
La 0.741 0.241 0.500
Nd 0.120 0.367 0.753
Nd 0.386 0.633 0.753
Nd 0.614 0.367 0.247
Nd 0.880 0.633 0.247
Ho 0.500 0.500 0.000

Values from the calculation:
As for the total DFT energy (no corrections): -4.697 eV per atom. The crystal system is orthorhombic. The calculation puts the formation energy at 0.85 eV/f.u.

***

Record 11
Below is a relaxed structure of CaCoAu2, with properties calculated at the PBE-GGA level.

Cell lengths 4.739, 4.739, 4.739 Å; angles 60.00, 60.00, 60.00 degrees
Fractional coordinates of all 4 atoms:
Ca 0.000 0.000 0.000
Co 0.750 0.750 0.750
Au 0.250 0.250 0.250
Au 0.500 0.500 0.500

Values from the calculation:
As for the total DFT energy (no corrections): -3.944 eV per atom. The crystal system is cubic. The calculation puts the formation energy at -0.11 eV/f.u.

***

Record 12
Below is a relaxed structure of Ca2Sn5Pd3, with properties calculated at the PBE-GGA level.

Cell lengths 13.600, 13.600, 7.423 Å; angles 90.00, 90.00, 160.72 degrees
Fractional coordinates of all 20 atoms:
Ca 0.023 0.977 0.500
Ca 0.327 0.673 0.534
Ca 0.673 0.327 0.034
Ca 0.977 0.023 0.000
Sn 0.097 0.903 0.875
Sn 0.206 0.794 0.329
Sn 0.208 0.792 0.749
Sn 0.381 0.619 0.998
Sn 0.451 0.549 0.665
Sn 0.549 0.451 0.165
Sn 0.619 0.381 0.498
Sn 0.792 0.208 0.249
Sn 0.794 0.206 0.829
Sn 0.903 0.097 0.375
Pd 0.107 0.893 0.245
Pd 0.277 0.723 0.040
Pd 0.450 0.550 0.283
Pd 0.550 0.450 0.783
Pd 0.723 0.277 0.540
Pd 0.893 0.107 0.745

Values from the calculation:
As for the total DFT energy (no corrections): -4.614 eV per atom. The crystal system is orthorhombic. The calculation puts the formation energy at -6.54 eV/f.u.